A plane-wave DFT calculation with PBE was carried out for a relaxed Ti12Ga3Rh crystal.

VASP energy	-7.253	eV per atom
space-group type	No. 123

a b c (Å): 3.9726 3.9726 16.3852
angles (deg): 90.00 90.00 90.00
Fractional positions:
Ti 0.0000 0.0000 0.0000
Ti 0.0000 0.0000 0.2491
Ti 0.0000 0.0000 0.5000
Ti 0.0000 0.0000 0.7509
Ti 0.0000 0.5000 0.1232
Ti 0.0000 0.5000 0.3727
Ti 0.0000 0.5000 0.6273
Ti 0.0000 0.5000 0.8768
Ti 0.5000 0.0000 0.1232
Ti 0.5000 0.0000 0.3727
Ti 0.5000 0.0000 0.6273
Ti 0.5000 0.0000 0.8768
Ga 0.5000 0.5000 0.0000
Ga 0.5000 0.5000 0.2499
Ga 0.5000 0.5000 0.7501
Rh 0.5000 0.5000 0.5000